No. 1
Density functional theory data (PBE) for an optimized crystal structure of KDyTl.

Energy of formation = -11 kJ/mol of atoms
SG = No. 139
E_tot = -16.800 eV/cell

Lattice parameters (Å, degrees): 4.018 4.018 14.768 97.82 97.82 90.00
Last column: magnetic moment on the atom in μB.
Fractional positions:
K: 0.424 0.424 0.847  0.00
K: 0.576 0.576 0.153  0.00
Tl: 0.839 0.839 0.679  -0.01
Tl: 0.161 0.161 0.321  -0.01
Dy: 0.288 0.288 0.576  0.28
Dy: 0.712 0.712 0.424  0.28



No. 2
Density functional theory data (PBE) for an optimized crystal structure of KDy2Tl3.

Energy of formation = -24 kJ/mol of atoms
SG = No. 123
E_tot = -18.877 eV/cell

Lattice parameters (Å, degrees): 3.861 3.861 12.313 90.00 90.00 90.00
Fractional positions:
Dy: 0.500 0.500 0.846
Dy: 0.500 0.500 0.154
K: 0.500 0.500 0.500
Tl: 0.000 0.000 0.706
Tl: 0.000 0.000 0.000
Tl: 0.000 0.000 0.294



No. 3
Density functional theory data (PBE) for an optimized crystal structure of KDyTm2.

Energy of formation = 26 kJ/mol of atoms
SG = No. 166
E_tot = -13.582 eV/cell

Lattice parameters (Å, degrees): 3.538 3.538 13.302 82.36 82.36 60.00
Fractional positions:
Tm: 0.904 0.904 0.288
Tm: 0.096 0.096 0.712
K: 0.000 0.000 0.000
Dy: 0.500 0.500 0.500



No. 4
Density functional theory data (PBE) for an optimized crystal structure of KDy2Tm.

Energy of formation = 23 kJ/mol of atoms
SG = No. 166
E_tot = -13.821 eV/cell

Lattice parameters (Å, degrees): 3.558 3.558 13.333 82.33 82.33 60.00
Fractional positions:
Dy: 0.096 0.096 0.711
Dy: 0.904 0.904 0.289
Tm: 0.500 0.500 0.500
K: 0.000 0.000 0.000



No. 5
Density functional theory data (PBE) for an optimized crystal structure of La5Dy3.

Energy of formation = 3 kJ/mol of atoms
SG = No. 123
E_tot = -38.212 eV/cell

Lattice parameters (Å, degrees): 3.703 3.703 20.396 90.00 90.00 90.00
Fractional positions:
La: 0.000 0.000 0.247
La: 0.000 0.000 0.753
La: 0.000 0.000 0.000
La: 0.500 0.500 0.624
La: 0.500 0.500 0.376
Dy: 0.000 0.000 0.500
Dy: 0.500 0.500 0.878
Dy: 0.500 0.500 0.122



No. 6
Density functional theory data (PBE) for an optimized crystal structure of La5Dy3.

Energy of formation = 2 kJ/mol of atoms
SG = No. 47
E_tot = -38.292 eV/cell

Lattice parameters (Å, degrees): 5.115 5.207 10.425 90.00 90.00 90.00
Fractional positions:
La: 0.000 0.000 0.500
La: 0.000 0.500 0.254
La: 0.000 0.000 0.000
La: 0.000 0.500 0.746
La: 0.500 0.500 0.000
Dy: 0.500 0.000 0.253
Dy: 0.500 0.000 0.747
Dy: 0.500 0.500 0.500



No. 7
Density functional theory data (PBE) for an optimized crystal structure of La5Dy6.

Energy of formation = 16 kJ/mol of atoms
SG = No. 12
E_tot = -50.457 eV/cell

Lattice parameters (Å, degrees): 6.273 7.978 7.978 83.77 96.82 96.82
Fractional positions:
Dy: 0.738 0.911 0.578
Dy: 0.761 0.251 0.251
Dy: 0.738 0.578 0.911
Dy: 0.262 0.089 0.422
Dy: 0.239 0.749 0.749
Dy: 0.262 0.422 0.089
La: 0.000 0.671 0.329
La: 0.500 0.839 0.161
La: 0.500 0.500 0.500
La: 0.000 0.329 0.671
La: 0.500 0.161 0.839



No. 8
Density functional theory data (PBE) for an optimized crystal structure of LaDy.

Energy of formation = 1 kJ/mol of atoms
SG = No. 227
E_tot = -38.000 eV/cell

Lattice parameters (Å, degrees): 7.272 7.272 7.272 60.00 60.00 60.00
Fractional positions:
Dy: 0.875 0.875 0.875
Dy: 0.875 0.375 0.875
Dy: 0.375 0.875 0.875
Dy: 0.875 0.875 0.375
La: 0.875 0.375 0.375
La: 0.375 0.375 0.375
La: 0.375 0.875 0.375
La: 0.375 0.375 0.875



No. 9
Density functional theory data (PBE) for an optimized crystal structure of LaDy.

Energy of formation = 7 kJ/mol of atoms
SG = No. 63
E_tot = -18.776 eV/cell

Lattice parameters (Å, degrees): 3.551 5.686 7.014 90.00 104.64 90.00
Fractional positions:
Dy: 0.815 0.750 0.130
Dy: 0.185 0.250 0.870
La: 0.440 0.250 0.379
La: 0.560 0.750 0.621



No. 10
Density functional theory data (PBE) for an optimized crystal structure of La3Dy13.

Energy of formation = 2 kJ/mol of atoms
SG = No. 38
E_tot = -74.211 eV/cell

Lattice parameters (Å, degrees): 7.301 8.517 8.517 95.60 90.00 90.00
Fractional positions:
Dy: 0.500 0.703 0.786
Dy: 0.251 0.955 0.537
Dy: 0.500 0.789 0.211
Dy: 0.000 0.707 0.789
Dy: 0.749 0.463 0.045
Dy: 0.500 0.294 0.706
Dy: 0.000 0.211 0.293
Dy: 0.749 0.955 0.537
Dy: 0.500 0.214 0.297
Dy: 0.251 0.463 0.045
Dy: 0.000 0.789 0.211
Dy: 0.750 0.544 0.456
Dy: 0.250 0.544 0.456
La: 0.000 0.293 0.707
La: 0.253 0.040 0.960
La: 0.747 0.040 0.960



No. 11
Density functional theory data (PBE) for an optimized crystal structure of LaDy3.

Energy of formation = 3 kJ/mol of atoms
SG = No. 25
E_tot = -18.596 eV/cell

Lattice parameters (Å, degrees): 3.663 5.775 6.284 90.00 90.00 90.00
Fractional positions:
Dy: 0.500 0.500 0.834
Dy: 0.000 0.500 0.336
Dy: 0.500 0.000 0.500
La: 0.000 0.000 0.996



No. 12
Density functional theory data (PBE) for an optimized crystal structure of La5Dy2.

Energy of formation = 12 kJ/mol of atoms
SG = No. 166
E_tot = -32.990 eV/cell

Lattice parameters (Å, degrees): 5.858 5.858 9.025 71.06 71.06 60.00
Fractional positions:
Dy: 0.657 0.657 0.030
Dy: 0.343 0.343 0.970
La: 0.933 0.933 0.202
La: 0.796 0.796 0.611
La: 0.204 0.204 0.389
La: 0.067 0.067 0.798
La: 0.500 0.500 0.500



No. 13
Density functional theory data (PBE) for an optimized crystal structure of La6Dy.

Energy of formation = 89 kJ/mol of atoms
SG = No. 229
E_tot = -27.729 eV/cell

Lattice parameters (Å, degrees): 7.091 7.091 7.091 109.47 109.47 109.47
Fractional positions:
La: 0.750 0.500 0.250
La: 0.500 0.750 0.250
La: 0.250 0.750 0.500
La: 0.500 0.250 0.750
La: 0.750 0.250 0.500
La: 0.250 0.500 0.750
Dy: 0.000 0.000 0.000



No. 14
Density functional theory data (PBE) for an optimized crystal structure of La3Dy2.

Energy of formation = 24 kJ/mol of atoms
SG = No. 167
E_tot = -45.459 eV/cell

Lattice parameters (Å, degrees): 6.934 6.934 9.687 69.03 69.03 60.00
Fractional positions:
La: 0.285 0.750 0.750
La: 0.215 0.285 0.750
La: 0.715 0.250 0.250
La: 0.250 0.785 0.250
La: 0.785 0.715 0.250
La: 0.750 0.215 0.750
Dy: 0.310 0.310 0.070
Dy: 0.690 0.690 0.930
Dy: 0.810 0.810 0.570
Dy: 0.190 0.190 0.430



No. 15
Density functional theory data (PBE) for an optimized crystal structure of La8Dy3.

Energy of formation = 2 kJ/mol of atoms
SG = No. 12
E_tot = -52.963 eV/cell

Lattice parameters (Å, degrees): 5.193 6.390 13.279 103.61 90.00 113.98
Fractional positions:
Dy: 0.000 0.000 0.000
Dy: 0.092 0.183 0.634
Dy: 0.908 0.817 0.366
La: 0.637 0.274 0.454
La: 0.273 0.546 0.911
La: 0.727 0.454 0.089
La: 0.180 0.361 0.273
La: 0.453 0.907 0.182
La: 0.820 0.639 0.727
La: 0.547 0.093 0.818
La: 0.363 0.726 0.546



No. 16
Density functional theory data (PBE) for an optimized crystal structure of La3Dy4.

Energy of formation = 3 kJ/mol of atoms
SG = No. 139
E_tot = -32.979 eV/cell

Lattice parameters (Å, degrees): 3.645 3.645 18.068 84.21 84.21 90.00
Fractional positions:
La: 0.287 0.287 0.425
La: 0.000 0.000 0.000
La: 0.713 0.713 0.575
Dy: 0.572 0.572 0.856
Dy: 0.428 0.428 0.144
Dy: 0.860 0.860 0.279
Dy: 0.140 0.140 0.721



No. 17
Density functional theory data (PBE) for an optimized crystal structure of LaDy5.

Energy of formation = 2 kJ/mol of atoms
SG = No. 12
E_tot = -27.784 eV/cell

Lattice parameters (Å, degrees): 5.060 6.201 7.154 106.67 90.00 114.08
Fractional positions:
Dy: 0.974 0.949 0.059
Dy: 0.637 0.273 0.386
Dy: 0.306 0.611 0.222
Dy: 0.972 0.944 0.553
Dy: 0.639 0.278 0.891
La: 0.306 0.611 0.722



No. 18
Density functional theory data (PBE) for an optimized crystal structure of La7Dy5.

Energy of formation = 2 kJ/mol of atoms
SG = No. 12
E_tot = -57.287 eV/cell

Lattice parameters (Å, degrees): 3.685 9.732 12.398 73.61 81.45 79.09
Fractional positions:
Dy: 0.831 0.833 0.505
Dy: 0.308 0.637 0.747
Dy: 0.000 0.000 0.000
Dy: 0.169 0.167 0.495
Dy: 0.692 0.363 0.253
La: 0.973 0.304 0.750
La: 0.360 0.029 0.252
La: 0.640 0.971 0.748
La: 0.027 0.696 0.250
La: 0.333 0.331 0.004
La: 0.667 0.669 0.996
La: 0.500 0.500 0.500



No. 19
Density functional theory data (PBE) for an optimized crystal structure of La5Dy6.

Energy of formation = 13 kJ/mol of atoms
SG = No. 12
E_tot = -50.760 eV/cell

Lattice parameters (Å, degrees): 9.146 8.139 6.519 80.08 72.15 55.82
Fractional positions:
Dy: 0.952 0.749 0.176
Dy: 0.048 0.251 0.824
Dy: 0.840 0.000 0.694
Dy: 0.701 0.251 0.176
Dy: 0.160 0.000 0.306
Dy: 0.299 0.749 0.824
La: 0.369 0.263 0.000
La: 0.631 0.737 0.000
La: 0.238 0.524 0.500
La: 0.500 0.000 0.500
La: 0.762 0.476 0.500



No. 20
Density functional theory data (PBE) for an optimized crystal structure of LaDy3.

Energy of formation = 3 kJ/mol of atoms
SG = No. 221
E_tot = -18.610 eV/cell

Lattice parameters (Å, degrees): 5.088 5.088 5.088 90.00 90.00 90.00
Fractional positions:
Dy: 0.000 0.500 0.500
Dy: 0.500 0.000 0.500
Dy: 0.500 0.500 0.000
La: 0.000 0.000 0.000